# TbSi2TcMo

A relaxed TbSi2TcMo crystal (PBE-GGA, Alexandria via LeMat-Bulk).

Cell: 4.0259 4.0259 6.0967 Å, 109.28 109.28 90.00°
Last column: magnetic moment on the atom in μB.
Positions (direct):
Tb1 0.0000 0.0000 0.0000  0.00
Si1 0.6130 0.6130 0.2259  0.00
Si2 0.3870 0.3870 0.7741  0.00
Tc1 0.7500 0.2500 0.5000  -0.01
Mo1 0.2500 0.7500 0.5000  0.12

Theoretical density (g/cm³): 7.77
SG: I-4m2 (119)
Total magnetic moment (μB/f.u.): 0.13
E_form (uncorrected) (eV per atom): -0.545

***

# Nd6Y2Er3

A relaxed Nd6Y2Er3 crystal (PBE-GGA, Alexandria via LeMat-Bulk).

Cell: 4.7503 4.7503 17.4273 Å, 97.83 97.83 90.00°
Positions (direct):
Nd1 0.1211 0.6211 0.2423
Nd2 0.6211 0.1211 0.2423
Nd3 0.8789 0.3789 0.7577
Nd4 0.3789 0.8789 0.7577
Nd5 0.7058 0.7058 0.4116
Nd6 0.2942 0.2942 0.5884
Y1 0.4547 0.4547 0.9094
Y2 0.5453 0.5453 0.0906
Er1 0.0000 0.0000 0.0000
Er2 0.8056 0.8056 0.6113
Er3 0.1944 0.1944 0.3887

Theoretical density (g/cm³): 6.65
SG: I4/mmm (139)
Total energy (eV/atom): -4.72
Total magnetic moment (μB/f.u.): 0.00

***

# CsSiF4

A relaxed CsSiF4 crystal (PBE-GGA, Alexandria via LeMat-Bulk).

Cell: 4.0259 6.8094 7.8346 Å, 90.00 104.89 90.00°
Positions (direct):
Cs1 0.3691 0.7500 0.7382
Cs2 0.6309 0.2500 0.2618
Si1 0.0896 0.7500 0.1793
Si2 0.9104 0.2500 0.8207
F1 0.1683 0.5734 0.3365
F2 0.8317 0.4266 0.6635
F3 0.1683 0.9266 0.3365
F4 0.8317 0.0734 0.6635
F5 0.5880 0.7500 0.1760
F6 0.4120 0.2500 0.8240
F7 0.0000 0.5000 0.0000
F8 0.0000 0.0000 0.0000

Theoretical density (g/cm³): 3.79
SG: Cmcm (63)
Total magnetic moment (μB/f.u.): 0.00
E_form (uncorrected) (eV per atom): -2.614

***

> Which of these has the lowest theoretical density?

CsSiF4

***

Please write out number 1 again, unchanged.
# TbSi2TcMo

A relaxed TbSi2TcMo crystal (PBE-GGA, Alexandria via LeMat-Bulk).

Cell: 4.0259 4.0259 6.0967 Å, 109.28 109.28 90.00°
Last column: magnetic moment on the atom in μB.
Positions (direct):
Tb1 0.0000 0.0000 0.0000  0.00
Si1 0.6130 0.6130 0.2259  0.00
Si2 0.3870 0.3870 0.7741  0.00
Tc1 0.7500 0.2500 0.5000  -0.01
Mo1 0.2500 0.7500 0.5000  0.12

Theoretical density (g/cm³): 7.77
SG: I-4m2 (119)
Total magnetic moment (μB/f.u.): 0.13
E_form (uncorrected) (eV per atom): -0.545